# 1
Here is a crystal of Na2ZnHgP relaxed with PBEsol from Alexandria via LeMat-Bulk. Energies are from meta-GGA SCAN.

Cell and atoms, written as POSCAR:
```
Na2ZnHgP
1.0
5.723 0.000 0.000
0.000 5.723 0.000
0.000 0.000 4.816
Na Zn Hg P
2 1 1 1
Direct
0.000 0.500 0.000
0.500 0.000 0.000
0.000 0.000 0.500
0.500 0.500 0.000
0.500 0.500 0.500
```

Output
energy of formation from the pure elements	0.2476	eV per atom
total magnetization	0.00	μB/atom

# 2
Here is a crystal of Tb4CdCo relaxed with PBEsol from Alexandria via LeMat-Bulk. Energies are from meta-GGA SCAN.

Cell and atoms, written as POSCAR:
```
Tb4CdCo
1.0
0.000 6.603 6.603
6.603 0.000 6.603
6.603 6.603 0.000
Tb Cd Co
16 4 4
Direct
0.061 0.061 0.439
0.061 0.439 0.061
0.061 0.439 0.439
0.189 0.189 0.811
0.189 0.811 0.189
0.189 0.811 0.811
0.210 0.597 0.597
0.439 0.061 0.061
0.439 0.061 0.439
0.439 0.439 0.061
0.597 0.210 0.597
0.597 0.597 0.210
0.597 0.597 0.597
0.811 0.189 0.189
0.811 0.189 0.811
0.811 0.811 0.189
0.510 0.830 0.830
0.830 0.510 0.830
0.830 0.830 0.510
0.830 0.830 0.830
0.391 0.391 0.391
0.391 0.391 0.827
0.391 0.827 0.391
0.827 0.391 0.391
```

Output
energy of formation from the pure elements	-0.2527	eV per atom
total magnetization	0.00	μB/atom

# 3
Here is a crystal of Li2ZrSb2 relaxed with PBEsol from Alexandria via LeMat-Bulk. Energies are from meta-GGA SCAN.

Cell and atoms, written as POSCAR:
```
Li2ZrSb2
1.0
7.732 0.000 0.000
0.000 7.732 0.000
0.000 0.000 3.177
Li Zr Sb
4 2 4
Direct
0.110 0.390 0.000
0.390 0.890 0.000
0.610 0.110 0.000
0.890 0.610 0.000
0.000 0.000 0.000
0.500 0.500 0.000
0.187 0.687 0.500
0.313 0.187 0.500
0.687 0.813 0.500
0.813 0.313 0.500
```

Output
E_form (uncorrected)	-0.3944	eV per atom
total magnetization	0.00	μB/atom

# 4
Here is a crystal of NaTi3Tl relaxed with PBEsol from Alexandria via LeMat-Bulk. Energies are from meta-GGA SCAN.

Cell and atoms, written as POSCAR:
```
NaTi3Tl
1.0
5.196 0.000 0.000
0.000 5.196 0.000
0.000 0.000 5.196
Na Ti Tl
1 3 1
Direct
0.000 0.000 0.000
0.000 0.500 0.500
0.500 0.000 0.500
0.500 0.500 0.000
0.500 0.500 0.500
```

Output
energy of formation from the pure elements	1.0769	eV per atom
total magnetization	1.19	μB/atom

# 5
Here is a crystal of Zr9Ni11 relaxed with PBEsol from Alexandria via LeMat-Bulk. Energies are from meta-GGA SCAN.

Cell and atoms, written as POSCAR:
```
Zr9Ni11
1.0
-4.928 4.928 3.189
4.928 -4.928 3.189
4.928 4.928 -3.189
Zr Ni
9 11
Direct
0.000 0.000 0.000
0.090 0.311 0.402
0.249 0.584 0.833
0.311 0.910 0.221
0.416 0.249 0.665
0.584 0.751 0.335
0.689 0.090 0.779
0.751 0.416 0.167
0.910 0.689 0.598
0.019 0.914 0.344
0.086 0.430 0.105
0.250 0.750 0.500
0.325 0.981 0.895
0.430 0.325 0.344
0.500 0.500 0.000
0.570 0.675 0.656
0.675 0.019 0.105
0.750 0.250 0.500
0.914 0.570 0.895
0.981 0.086 0.656
```

Output
energy of formation from the pure elements	-0.4251	eV per atom
total magnetization	0.00	μB/atom

# 6
Here is a crystal of Al2ZnCr relaxed with PBEsol from Alexandria via LeMat-Bulk. Energies are from meta-GGA SCAN.

Cell and atoms, written as POSCAR:
```
Al2ZnCr
1.0
-1.802 1.802 4.100
1.802 -1.802 4.100
1.802 1.802 -4.100
Al Zn Cr
2 1 1
Direct
0.000 0.000 0.000
0.750 0.250 0.500
0.500 0.500 0.000
0.250 0.750 0.500
```

Output
energy of formation from the pure elements	-0.1394	eV per atom
total magnetization	0.00	μB/atom

# 7
Here is a crystal of RbGaTe2 relaxed with PBEsol from Alexandria via LeMat-Bulk. Energies are from meta-GGA SCAN.

Cell and atoms, written as POSCAR:
```
RbGaTe2
1.0
-4.023 4.023 4.506
4.023 -4.023 4.506
4.023 4.023 -4.506
Rb Ga Te
2 2 4
Direct
0.000 0.000 0.000
0.750 0.250 0.500
0.250 0.750 0.500
0.500 0.500 0.000
0.219 0.625 0.094
0.375 0.469 0.594
0.531 0.125 0.906
0.875 0.781 0.406
```

Output
E_form (uncorrected)	-0.7561	eV per atom
total magnetization	0.00	μB/atom

# 8
Here is a crystal of HoAl3 relaxed with PBEsol from Alexandria via LeMat-Bulk. Energies are from meta-GGA SCAN.

Cell and atoms, written as POSCAR:
```
HoAl3
1.0
4.202 0.000 0.000
0.000 4.202 0.000
0.000 0.000 4.202
Ho Al
1 3
Direct
0.000 0.000 0.000
0.000 0.500 0.500
0.500 0.000 0.500
0.500 0.500 0.000
```

Output
energy of formation from the pure elements	-0.4478	eV per atom
total magnetization	0.00	μB/atom

# 9
Here is a crystal of CrFe3 relaxed with PBEsol from Alexandria via LeMat-Bulk. Energies are from meta-GGA SCAN.

Cell and atoms, written as POSCAR:
```
CrFe3
1.0
4.024 -1.217 0.000
4.024 1.217 0.000
-0.731 0.000 4.151
Cr Fe
1 3
Direct
0.000 0.000 0.000
0.247 0.247 0.739
0.500 0.500 0.500
0.753 0.753 0.261
```

Output
energy of formation from the pure elements	0.2791	eV per atom
total magnetization	1.03	μB/atom

# 10
Here is a crystal of BAs relaxed with PBEsol from Alexandria via LeMat-Bulk. Energies are from meta-GGA SCAN.

Cell and atoms, written as POSCAR:
```
BAs
1.0
0.000 2.389 2.389
2.389 0.000 2.389
2.389 2.389 0.000
B As
1 1
Direct
0.000 0.000 0.000
0.750 0.750 0.750
```

Output
energy of formation from the pure elements	-0.1237	eV per atom
total magnetization	0.00	μB/atom

# 11
Here is a crystal of Sr2LaTc relaxed with PBEsol from Alexandria via LeMat-Bulk. Energies are from meta-GGA SCAN.

Cell and atoms, written as POSCAR:
```
Sr2LaTc
1.0
3.730 0.000 0.000
0.000 5.274 0.000
-1.576 0.000 5.953
Sr La Tc
2 1 1
Direct
0.125 0.000 0.280
0.875 0.000 0.720
0.500 0.500 0.000
0.500 0.500 0.500
```

Output
energy of formation from the pure elements	0.8043	eV per atom
total magnetization	0.11	μB/atom

# 12
Here is a crystal of ReIBrO2 relaxed with PBEsol from Alexandria via LeMat-Bulk. Energies are from meta-GGA SCAN.

Cell and atoms, written as POSCAR:
```
ReIBrO2
1.0
3.902 0.000 0.000
0.000 3.902 0.000
0.000 0.000 5.885
Re I Br O
1 1 1 2
Direct
0.000 0.000 0.000
0.000 0.000 0.500
0.500 0.500 0.500
0.000 0.500 0.000
0.500 0.000 0.000
```

Output
E_form (uncorrected)	-0.3529	eV per atom
total magnetization	0.00	μB/atom

# 13
Here is a crystal of Zr2SiHg relaxed with PBEsol from Alexandria via LeMat-Bulk. Energies are from meta-GGA SCAN.

Cell and atoms, written as POSCAR:
```
Zr2SiHg
1.0
3.017 0.000 0.000
0.000 3.017 0.000
0.000 0.000 8.215
Zr Si Hg
2 1 1
Direct
0.000 0.000 0.223
0.000 0.000 0.777
0.500 0.500 0.000
0.500 0.500 0.500
```

Output
E_form (uncorrected)	-0.4772	eV per atom
total magnetization	0.00	μB/atom

# 14
Here is a crystal of AgAsI2Cl relaxed with PBEsol from Alexandria via LeMat-Bulk. Energies are from meta-GGA SCAN.

Cell and atoms, written as POSCAR:
```
AgAsI2Cl
1.0
5.474 0.000 0.000
0.000 5.474 0.000
0.000 0.000 4.961
Ag As I Cl
1 1 2 1
Direct
0.000 0.000 0.000
0.000 0.000 0.500
0.000 0.500 0.000
0.500 0.000 0.000
0.500 0.500 0.500
```

Output
E_form (uncorrected)	0.5280	eV per atom
total magnetization	0.08	μB/atom

# 15
Here is a crystal of LaTaCo2 relaxed with PBEsol from Alexandria via LeMat-Bulk. Energies are from meta-GGA SCAN.

Cell and atoms, written as POSCAR:
```
LaTaCo2
1.0
-1.859 1.859 4.696
1.859 -1.859 4.696
1.859 1.859 -4.696
La Ta Co
1 1 2
Direct
0.000 0.000 0.000
0.750 0.250 0.500
0.250 0.750 0.500
0.500 0.500 0.000
```

Output
energy of formation from the pure elements	0.6263	eV per atom
total magnetization	0.00	μB/atom

# 16
Here is a crystal of ZnPt2 relaxed with PBEsol from Alexandria via LeMat-Bulk. Energies are from meta-GGA SCAN.

Cell and atoms, written as POSCAR:
```
ZnPt2
1.0
1.396 -6.855 0.000
1.396 6.855 0.000
0.000 0.000 4.494
Zn Pt
2 4
Direct
0.065 0.935 0.750
0.935 0.065 0.250
0.274 0.726 0.250
0.404 0.596 0.750
0.596 0.404 0.250
0.726 0.274 0.750
```

Output
energy of formation from the pure elements	-0.3476	eV per atom
total magnetization	0.00	μB/atom

# 17
Here is a crystal of Cd2TeRu relaxed with PBEsol from Alexandria via LeMat-Bulk. Energies are from meta-GGA SCAN.

Cell and atoms, written as POSCAR:
```
Cd2TeRu
1.0
4.057 0.000 0.000
0.000 4.057 0.000
0.000 0.000 4.614
Cd Te Ru
2 1 1
Direct
0.000 0.500 0.000
0.500 0.000 0.000
0.000 0.000 0.500
0.500 0.500 0.500
```

Output
E_form (uncorrected)	0.3682	eV per atom
total magnetization	0.00	μB/atom

# 18
Here is a crystal of MnFe2Co relaxed with PBEsol from Alexandria via LeMat-Bulk. Energies are from meta-GGA SCAN.

Cell and atoms, written as POSCAR:
```
MnFe2Co
1.0
-1.733 1.733 3.490
1.733 -1.733 3.490
1.733 1.733 -3.490
Mn Fe Co
1 2 1
Direct
0.000 0.000 0.000
0.250 0.750 0.500
0.750 0.250 0.500
0.500 0.500 0.000
```

Output
energy of formation from the pure elements	-0.0537	eV per atom
total magnetization	0.65	μB/atom

# 19
Here is a crystal of ZnAgNO2 relaxed with PBEsol from Alexandria via LeMat-Bulk. Energies are from meta-GGA SCAN.

Cell and atoms, written as POSCAR:
```
ZnAgNO2
1.0
4.034 0.000 0.000
0.000 4.034 0.000
0.000 0.000 3.844
Zn Ag N O
1 1 1 2
Direct
0.000 0.000 0.000
0.500 0.500 0.500
0.500 0.500 0.000
0.000 0.500 0.500
0.500 0.000 0.500
```

Output
E_form (uncorrected)	0.9385	eV per atom
total magnetization	0.30	μB/atom

# 20
Here is a crystal of AlTcRu2 relaxed with PBEsol from Alexandria via LeMat-Bulk. Energies are from meta-GGA SCAN.

Cell and atoms, written as POSCAR:
```
AlTcRu2
1.0
-1.461 2.143 4.299
1.461 -2.143 4.299
1.461 2.143 -4.299
Al Tc Ru
1 1 2
Direct
0.000 0.000 0.000
0.244 0.744 0.500
0.499 0.499 0.000
0.765 0.265 0.500
```

Output
energy of formation from the pure elements	-0.2773	eV per atom
total magnetization	0.00	μB/atom

For each record above, in turn, the calculated DFT total energy values are -99.27 -945.14 -223.94 -119.28 -462.70 -47.96 -229.22 -74.03 -71.66 -27.87 -119.50 -141.53 -141.49 -130.38 -141.79 -309.89 -131.43 -72.03 -61.94 -113.57 eV per cell.